Arrangement a

{"formula": "Co2Ge2Pd", "functional": "PBE", "state": "optimized geometry", "magmom_total_mub_per_fu": 0.00, "crystal_system": "tetragonal", "lattice_angstrom": [[6.910, 0.000, 0.000], [0.000, 6.910, 0.000], [0.000, 0.000, 2.730]], "species": ["Co", "Co", "Co", "Co", "Ge", "Ge", "Ge", "Ge", "Pd", "Pd"], "frac_coords": [[0.134, 0.366, 0.000], [0.366, 0.866, 0.000], [0.634, 0.134, 0.000], [0.866, 0.634, 0.000], [0.164, 0.664, 0.500], [0.336, 0.164, 0.500], [0.664, 0.836, 0.500], [0.836, 0.336, 0.500], [0.000, 0.000, 0.000], [0.500, 0.500, 0.000]]}

Arrangement b

{"formula": "Co2Ge2Pd", "functional": "PBE", "state": "optimized geometry", "magmom_total_mub_per_fu": 0.00, "crystal_system": "tetragonal", "lattice_angstrom": [[6.881, 0.000, 0.000], [0.000, 6.881, 0.000], [0.000, 0.000, 2.759]], "species": ["Co", "Co", "Co", "Co", "Ge", "Ge", "Ge", "Ge", "Pd", "Pd"], "frac_coords": [[0.139, 0.361, 0.000], [0.361, 0.861, 0.000], [0.639, 0.139, 0.000], [0.861, 0.639, 0.000], [0.156, 0.656, 0.500], [0.344, 0.156, 0.500], [0.656, 0.844, 0.500], [0.844, 0.344, 0.500], [0.000, 0.000, 0.500], [0.500, 0.500, 0.500]]}

Arrangement c

{"formula": "Co2Ge2Pd", "functional": "PBE", "state": "optimized geometry", "magmom_total_mub_per_fu": 0.77, "crystal_system": "tetragonal", "lattice_angstrom": [[-1.853, 1.853, 5.200], [1.853, -1.853, 5.200], [1.853, 1.853, -5.200]], "species": ["Co", "Co", "Ge", "Ge", "Pd"], "frac_coords": [[0.108, 0.108, 0.000], [0.892, 0.892, 0.000], [0.250, 0.750, 0.500], [0.750, 0.250, 0.500], [0.500, 0.500, 0.000]]}

Question: of the structures shown, which is the most stable? Reply: arrangement b.